## Li2NdS2 (PBE)

Data for a geometry-optimized Li2NdS2 structure.

Cell lengths 3.9908, 3.9908, 6.8743 Å; angles 90.00, 90.00, 120.00 degrees
With the nearest neighbours (Å) after each atom.
Fractional coordinates of all 5 atoms:
Li: 0.6667 0.3333 0.3739  4 S 2.43-2.51
Li: 0.3333 0.6667 0.6261  4 S 2.43-2.51
Nd: 0.0000 0.0000 0.0000  6 S 2.92
S: 0.6667 0.3333 0.7387  4 Li 2.43-2.51
S: 0.3333 0.6667 0.2613  4 Li 2.43-2.51

Its electronic total energy is -4.915 eV/atom. The calculation puts the energy relative to the elements, uncorrected at -1.545 eV per atom. The value obtained for the magnetization is 0.0 μB per formula unit.